Record 1
Compound: TmThNiRh
Source: Alexandria
Functional: PBE-GGA
Structure: relaxed

## Properties
Crystal system ... orthorhombic
Density of states at the Fermi level ... 0.733 states/eV/atom
Relative energy among the computed polymorphs ... 0.0 meV/atom
E_tot ... -27.85 eV/cell
M_tot ... 0.00 μB per formula unit

Geometry as extended XYZ:
```
4
Lattice="-0.675 3.522 -1.000 -2.016 0.707 3.850 4.823 -0.311 2.582" Properties=species:S:1:pos:R:3 pbc="T T T"
Tm 1.918 3.170 2.939
Ni -0.591 2.359 1.775
Rh 3.700 1.196 1.717
Th 1.255 0.406 0.583
```

---

Record 2
Compound: Tb4ZrSc5
Source: Alexandria
Functional: PBE-GGA
Structure: relaxed

## Properties
Crystal system ... tetragonal
Density of states at the Fermi level ... 1.642 states/eV/atom
E_tot ... -56.55 eV/cell
M_tot ... 0.00 μB per formula unit

Geometry as extended XYZ:
```
10
Lattice="-4.745 -2.374 -1.610 0.492 -2.583 -7.192 -0.044 -7.484 1.616" Properties=species:S:1:pos:R:3 pbc="T T T"
Sc -0.416 -9.452 -3.145
Tb -3.300 -8.665 -5.023
Sc -3.489 -2.793 -3.907
Zr -1.030 -0.515 -0.349
Tb -1.968 -6.971 -1.899
Tb -1.773 -5.191 -5.098
Sc -3.196 -7.189 -7.839
Tb -0.441 -3.498 -1.973
Sc -0.710 -5.055 0.786
Sc -3.286 -1.644 -1.115
```

---

Record 3
Compound: VIN3
Source: Alexandria
Functional: PBE-GGA
Structure: relaxed

## Properties
Crystal system ... cubic
E_form (uncorrected) ... 2.0586 eV/atom
Density of states at the Fermi level ... 0.501 states/eV/atom
E_tot ... -25.35 eV/cell
M_tot ... 1.86 μB per formula unit

Geometry as extended XYZ:
```
5
Lattice="-1.627 3.586 -0.664 -3.638 -1.544 0.574 0.259 0.839 3.896" Properties=species:S:1:pos:R:3 pbc="T T T"
N -0.813 1.793 -0.332
V -2.503 1.441 1.903
I 0.000 0.000 0.000
N -1.819 -0.772 0.287
N 0.129 0.420 1.948
```

---

Record 4
Compound: ZrReNi2
Source: Alexandria
Functional: PBE-GGA
Structure: relaxed

## Properties
Crystal system ... orthorhombic
Density of states at the Fermi level ... 1.051 states/eV/atom
Relative energy among the computed polymorphs ... 135.7 meV/atom
E_tot ... -32.46 eV/cell
M_tot ... 0.00 μB per formula unit

Geometry as extended XYZ:
```
4
Lattice="5.258 0.095 0.143 2.512 4.621 -0.143 -3.378 -3.193 2.464" Properties=species:S:1:pos:R:3 pbc="T T T"
Ni 7.613 4.620 0.000
Ni 2.955 -0.326 1.303
Zr 1.441 1.851 1.160
Re 4.039 2.452 0.000
```

---

Record 5
Compound: Ce2Sn9Pb
Source: Alexandria
Functional: PBE-GGA
Structure: relaxed

## Properties
Crystal system ... tetragonal
Density of states at the Fermi level ... 1.080 states/eV/atom
E_tot ... -55.25 eV/cell
M_tot ... 1.02 μB per formula unit

Geometry as extended XYZ:
```
12
Lattice="4.697 0.000 0.000 0.000 4.697 0.000 0.000 0.000 14.825" Properties=species:S:1:pos:R:3 pbc="T T T"
Sn 2.349 2.349 5.009
Sn 0.000 2.349 12.250
Sn 2.349 0.000 12.250
Sn 2.349 0.000 7.413
Pb 0.000 0.000 0.000
Sn 2.349 0.000 2.576
Sn 2.349 2.349 0.000
Sn 0.000 2.349 2.576
Ce 0.000 0.000 9.699
Sn 0.000 2.349 7.413
Ce 0.000 0.000 5.126
Sn 2.349 2.349 9.817
```

---

Record 6
Compound: CdIn3Hg3
Source: Alexandria
Functional: PBE-GGA
Structure: relaxed

## Properties
Crystal system ... hexagonal
Density of states at the Fermi level ... 0.328 states/eV/atom
Relative energy among the computed polymorphs ... 0.0 meV/atom
E_tot ... -19.75 eV/cell
M_tot ... 0.00 μB per formula unit

Geometry as extended XYZ:
```
14
Lattice="-5.348 -2.084 -0.178 2.332 -6.425 5.190 -2.970 7.335 3.320" Properties=species:S:1:pos:R:3 pbc="T T T"
In -1.707 -0.142 6.651
In -0.915 -1.726 1.376
Hg -4.122 -1.700 4.826
Hg -2.800 2.743 5.680
Hg -2.955 3.413 2.510
Cd -0.772 -2.359 4.522
In -5.071 0.552 6.956
Hg -3.186 -3.917 2.652
In -4.278 -1.032 1.681
In 0.305 -5.210 5.539
Cd -5.213 1.185 3.810
Hg -1.863 0.526 3.506
Hg -3.030 -4.587 5.821
In -6.291 4.036 2.792
```

---

Record 7
Compound: Zr2NbAl2Ru5
Source: Alexandria
Functional: PBE-GGA
Structure: relaxed

## Properties
Crystal system ... tetragonal
Density of states at the Fermi level ... 0.450 states/eV/atom
E_tot ... -171.76 eV/cell
M_tot ... 0.00 μB per formula unit

Geometry as extended XYZ:
```
20
Lattice="3.289 0.000 0.000 0.000 9.904 0.000 0.000 0.000 9.904" Properties=species:S:1:pos:R:3 pbc="T T T"
Zr 0.000 3.249 8.201
Ru 1.644 2.005 0.662
Zr 0.000 1.702 3.249
Ru 1.644 4.290 2.946
Al 0.000 3.696 1.256
Ru 1.644 0.662 7.898
Ru 1.644 7.898 9.242
Zr 0.000 8.201 6.654
Ru 1.644 0.000 4.952
Ru 1.644 6.957 4.290
Nb 0.000 4.952 4.952
Ru 1.644 4.952 0.000
Ru 1.644 5.614 6.957
Al 0.000 1.256 6.208
Zr 0.000 6.654 1.702
Al 0.000 8.648 3.696
Nb 0.000 0.000 0.000
Ru 1.644 2.946 5.614
Al 0.000 6.208 8.648
Ru 1.644 9.242 2.005
```

---

Record 8
Compound: Ti2CoCuGe
Source: Alexandria
Functional: PBE-GGA
Structure: relaxed

## Properties
Crystal system ... tetragonal
Density of states at the Fermi level ... 1.044 states/eV/atom
Relative energy among the computed polymorphs ... 487.7 meV/atom
E_tot ... -27.75 eV/cell
M_tot ... 1.13 μB per formula unit

Geometry as extended XYZ:
```
5
Lattice="-3.031 1.279 -3.218 -3.195 -1.349 2.473 -0.277 4.173 1.919" Properties=species:S:1:pos:R:3 pbc="T T T"
Ti -1.516 0.639 -1.609
Ti -0.138 2.087 0.959
Ge -1.597 -0.675 1.237
Cu 0.000 0.000 0.000
Co -3.251 2.051 0.587
```

---

Record 9
Compound: Ca12Fe4Sb
Source: Alexandria
Functional: PBE-GGA
Structure: relaxed

## Properties
Crystal system ... cubic
E_form (uncorrected) ... 0.3654 eV/atom
Density of states at the Fermi level ... 1.073 states/eV/atom
E_tot ... -55.78 eV/cell
M_tot ... 6.63 μB per formula unit

Geometry as extended XYZ:
```
17
Lattice="9.094 0.000 0.000 -3.031 8.574 0.000 -3.031 -4.287 7.425" Properties=species:S:1:pos:R:3 pbc="T T T"
Ca 0.123 2.498 6.083
Sb 0.000 0.000 0.000
Fe 4.547 0.000 0.000
Ca -2.314 -0.949 6.083
Ca 2.909 1.789 1.342
Ca 3.749 1.456 5.205
Ca -0.717 2.831 2.220
Ca -3.154 4.555 5.205
Fe -1.516 -2.144 3.713
Ca 2.314 4.794 3.863
Ca -0.123 6.517 0.878
Fe -1.516 4.287 0.000
Ca 0.717 -0.507 3.562
Ca 5.346 5.236 1.342
Ca 6.186 -0.268 2.220
Ca 3.154 -2.230 6.547
Fe 1.516 2.144 3.713
```

---

Record 10
Compound: CaPmInRu
Source: Alexandria
Functional: PBE-GGA
Structure: relaxed

## Properties
Crystal system ... cubic
Density of states at the Fermi level ... 1.042 states/eV/atom
E_tot ... -19.18 eV/cell
M_tot ... 0.00 μB per formula unit

Geometry as extended XYZ:
```
4
Lattice="5.149 0.000 0.000 2.575 4.459 0.000 2.575 1.486 4.204" Properties=species:S:1:pos:R:3 pbc="T T T"
Ca 0.000 0.000 0.000
In 2.575 1.486 1.051
Pm 5.149 2.973 2.102
Ru 7.724 4.459 3.153
```

---

Record 11
Compound: NdHo2Si
Source: Alexandria
Functional: PBE-GGA
Structure: relaxed

## Properties
Crystal system ... trigonal
E_form (uncorrected) ... -0.0206 eV/atom
Density of states at the Fermi level ... 1.151 states/eV/atom
E_tot ... -19.43 eV/cell
M_tot ... 0.00 μB per formula unit

Geometry as extended XYZ:
```
4
Lattice="3.568 0.000 0.000 1.784 3.090 0.000 1.784 1.030 10.883" Properties=species:S:1:pos:R:3 pbc="T T T"
Ho 5.352 3.090 3.514
Nd 0.000 0.000 0.000
Si 3.568 2.060 5.442
Ho 1.784 1.030 7.369
```

---

Record 12
Compound: NbCdIrRu
Source: Alexandria
Functional: PBE-GGA
Structure: relaxed

## Properties
Crystal system ... cubic
Density of states at the Fermi level ... 0.203 states/eV/atom
E_tot ... -29.67 eV/cell
M_tot ... 0.00 μB per formula unit

Geometry as extended XYZ:
```
4
Lattice="4.524 0.000 0.000 2.262 3.918 0.000 2.262 1.306 3.694" Properties=species:S:1:pos:R:3 pbc="T T T"
Ir 2.262 1.306 0.924
Nb 0.000 0.000 0.000
Cd 4.524 2.612 1.847
Ru 6.787 3.918 2.771
```

---

Record 13
Compound: AcGaIr
Source: Alexandria
Functional: PBE-GGA
Structure: relaxed

## Properties
Crystal system ... trigonal
Density of states at the Fermi level ... 0.805 states/eV/atom
Relative energy among the computed polymorphs ... 329.5 meV/atom
E_tot ... -17.11 eV/cell
M_tot ... 0.00 μB per formula unit

Geometry as extended XYZ:
```
3
Lattice="4.092 0.000 0.000 2.046 3.544 0.000 2.046 1.181 5.428" Properties=species:S:1:pos:R:3 pbc="T T T"
Ac 4.092 2.363 5.411
Ga 4.092 2.363 2.355
Ir 2.046 1.181 3.329
```

---

Record 14
Compound: Pa6NiN12
Source: Alexandria
Functional: PBE-GGA
Structure: relaxed

## Properties
Crystal system ... trigonal
E_form (uncorrected) ... -1.1797 eV/atom
Density of states at the Fermi level ... 0.699 states/eV/atom
E_tot ... -185.08 eV/cell
M_tot ... 0.00 μB per formula unit

Geometry as extended XYZ:
```
19
Lattice="-5.564 -3.395 0.065 3.771 -4.158 3.313 -1.322 4.218 4.790" Properties=species:S:1:pos:R:3 pbc="T T T"
N 2.313 -1.188 6.454
Pa -2.654 -4.195 4.341
N -0.411 2.508 5.526
Pa 0.079 -1.955 6.297
N 1.776 -4.711 3.414
N -1.226 -0.227 5.833
N -0.546 -3.625 4.706
Pa 0.470 -2.890 2.652
N -5.427 -2.146 1.714
N -2.569 0.290 3.463
Pa -3.585 -0.444 5.517
N -1.889 -3.107 2.335
Pa -0.461 0.860 3.828
N -3.803 -2.115 4.080
N -2.703 -5.842 2.642
Pa -3.194 -1.379 1.871
Ni 0.000 0.000 0.000
N 0.688 -1.219 4.088
N -4.891 1.376 4.754
```

---

Record 15
Compound: Ac15Pm4Tm
Source: Alexandria
Functional: PBE-GGA
Structure: relaxed

## Properties
Crystal system ... tetragonal
Density of states at the Fermi level ... 1.534 states/eV/atom
E_tot ... -84.52 eV/cell
M_tot ... 0.00 μB per formula unit

Geometry as extended XYZ:
```
20
Lattice="-0.093 4.692 2.914 -4.709 -1.589 2.409 14.356 -12.161 20.039" Properties=species:S:1:pos:R:3 pbc="T T T"
Ac 4.823 -6.875 11.224
Ac -2.401 1.551 2.662
Ac 7.132 -3.735 11.476
Ac 3.338 -3.310 10.672
Ac -0.937 -1.996 3.183
Pm 2.857 -2.420 3.988
Ac 12.892 -8.615 19.517
Ac 1.943 -4.435 7.204
Ac 1.371 1.145 3.436
Ac 4.251 -1.295 7.456
Pm 5.739 -4.862 8.011
Ac 7.703 -9.315 15.244
Ac 10.584 -11.755 19.265
Ac 0.457 -0.870 6.651
Ac 9.097 -8.189 18.711
Ac 6.216 -5.749 14.690
Tm 0.000 0.000 0.000
Ac 10.012 -6.175 15.497
Pm 11.499 -9.741 16.051
Pm 8.617 -7.299 12.028
```

---

Record 16
Compound: BC3
Source: Alexandria
Functional: PBE-GGA
Structure: relaxed

## Properties
Crystal system ... orthorhombic
Density of states at the Fermi level ... 0.063 states/eV/atom
Relative energy among the computed polymorphs ... 109.2 meV/atom
E_tot ... -98.85 eV/cell
M_tot ... 0.00 μB per formula unit

Geometry as extended XYZ:
```
12
Lattice="-1.152 -2.100 0.965 3.432 -1.432 0.979 -0.509 3.347 6.681" Properties=species:S:1:pos:R:3 pbc="T T T"
C 3.082 0.803 5.430
C 0.478 2.412 5.823
C 1.129 -1.240 2.106
B 3.172 -0.280 3.178
C 1.760 -0.974 3.438
C 0.714 1.018 6.526
C 0.648 1.298 3.599
B 3.342 -1.394 0.955
C 1.672 0.101 5.674
B 0.929 0.135 1.403
C 0.882 -0.086 4.323
C 1.423 1.243 7.864
```

---

Record 17
Compound: Cs6InAu2
Source: Alexandria
Functional: PBE-GGA
Structure: relaxed

## Properties
Crystal system ... trigonal
Density of states at the Fermi level ... 0.803 states/eV/atom
E_tot ... -15.67 eV/cell
M_tot ... 0.00 μB per formula unit

Geometry as extended XYZ:
```
9
Lattice="-7.611 -1.573 -5.340 -7.831 -3.541 3.879 -7.735 5.677 1.027" Properties=species:S:1:pos:R:3 pbc="T T T"
Cs -8.053 -0.147 -1.925
Cs -13.746 -2.002 -2.612
In -10.447 -2.974 -0.885
Cs -9.826 2.478 1.819
Au -11.348 -0.404 -0.357
Cs -12.099 2.616 -2.740
Cs -11.145 -2.204 2.821
Au -6.541 2.270 0.328
Cs -14.643 0.890 1.324
```

---

Record 18
Compound: Pm2HoTm
Source: Alexandria
Functional: PBE-GGA
Structure: relaxed

## Properties
Crystal system ... trigonal
Density of states at the Fermi level ... 1.420 states/eV/atom
Relative energy among the computed polymorphs ... 3.1 meV/atom
E_tot ... -18.48 eV/cell
M_tot ... 0.00 μB per formula unit

Geometry as extended XYZ:
```
4
Lattice="3.598 0.000 0.000 1.799 3.116 0.000 1.799 1.039 11.575" Properties=species:S:1:pos:R:3 pbc="T T T"
Ho 3.598 2.077 5.794
Pm 1.799 1.039 2.896
Tm 5.396 3.116 11.562
Pm 1.799 1.039 8.685
```

---

Record 19
Compound: URe3
Source: Alexandria
Functional: PBE-GGA
Structure: relaxed

## Properties
Crystal system ... tetragonal
Density of states at the Fermi level ... 1.404 states/eV/atom
E_tot ... -47.84 eV/cell
M_tot ... 0.00 μB per formula unit

Geometry as extended XYZ:
```
4
Lattice="3.145 0.000 0.000 0.000 4.633 0.000 0.000 0.000 4.633" Properties=species:S:1:pos:R:3 pbc="T T T"
U 0.000 2.317 1.931
Re 1.573 0.000 1.930
Re 1.573 2.317 4.248
Re 0.000 0.000 4.246
```

---

Record 20
Compound: GaCo2Sn2
Source: Alexandria
Functional: PBE-GGA
Structure: relaxed

## Properties
Crystal system ... tetragonal
Density of states at the Fermi level ... 0.808 states/eV/atom
Relative energy among the computed polymorphs ... 0.0 meV/atom
E_tot ... -50.18 eV/cell
M_tot ... 0.00 μB per formula unit

Geometry as extended XYZ:
```
10
Lattice="-0.165 5.140 -4.043 -2.171 -3.858 -4.816 -3.574 0.707 1.045" Properties=species:S:1:pos:R:3 pbc="T T T"
Sn -2.664 3.359 -4.514
Co -1.545 1.891 -6.564
Ga 0.000 0.000 0.000
Sn -3.720 0.502 -6.191
Sn -3.245 -1.371 -3.300
Co -1.911 -1.476 -5.538
Co -0.425 2.758 -3.321
Ga -1.168 0.641 -4.429
Sn -2.190 1.486 -1.622
Co -0.791 -0.609 -2.294
```